DFT (PBE) results for a geometry-optimized AlZn4Se5 structure.

Results
Calculated total energy, eV/cell: -96.83
D(E_F), states/eV/cell: 5.9

Structure (CIF):
```
data_AlZn4Se5
_chemical_formula_sum 'Al3 Zn12 Se15'
_cell_length_a 4.1474
_cell_length_b 4.1474
_cell_length_c 49.1695
_cell_angle_alpha 90.00
_cell_angle_beta 90.00
_cell_angle_gamma 120.00
_space_group_name_H-M_alt 'R 3 m'
_space_group_IT_number 160
_space_group_name_Hall 'R 3 -2"'
loop_
_atom_site_label
_atom_site_type_symbol
_atom_site_fract_x
_atom_site_fract_y
_atom_site_fract_z
_atom_site_occupancy
Al1 Al 0.0000 0.0000 0.0000 1
Zn1 Zn 0.0000 0.0000 0.1997 1
Zn2 Zn 0.0000 0.0000 0.4003 1
Zn3 Zn 0.0000 0.0000 0.5987 1
Zn4 Zn 0.0000 0.0000 0.8001 1
Se1 Se 0.0000 0.0000 0.0501 1
Se2 Se 0.0000 0.0000 0.2511 1
Se3 Se 0.0000 0.0000 0.4505 1
Se4 Se 0.0000 0.0000 0.6519 1
Se5 Se 0.0000 0.0000 0.8508 1
```